Sc2MoPb: optimized geometry, GGA-PBE.

Cell: 5.517 5.517 5.517 Å, 136.96 132.75 65.82°
Fractional positions:
Pb  0.253  0.753  0.500
Sc  0.001  0.001  0.000
Sc  0.750  0.250  0.500
Mo  0.496  0.496  0.000

Properties
DFT formation energy (eV/f.u.): 0.12
Crystal system: orthorhombic
Total moment (μB per atom): 0.000
Total DFT energy (no corrections) (eV per atom): -6.770
Density of states at the Fermi level (states/eV/atom): 0.9446

PrZrSn: optimized geometry, GGA-PBE.

Cell: 3.889 5.037 5.037 Å, 120.00 90.00 90.00°
Fractional positions:
Zr  0.170  0.667  0.333
Pr  0.668  0.333  0.667
Sn  0.162  0.000  0.000

Properties
DFT formation energy (eV/f.u.): -0.53
Crystal system: trigonal
Total moment (μB per atom): 0.001
Total DFT energy (no corrections) (eV per atom): -5.953
Density of states at the Fermi level (states/eV/atom): 1.5262

NiPdW2: optimized geometry, GGA-PBE.

Cell: 7.002 7.002 5.574 Å, 51.09 51.09 90.00°
Fractional positions:
Ni  0.500  0.500  0.000
Ni  0.250  0.750  0.500
W  0.875  0.839  0.750
W  0.375  0.411  0.750
W  0.161  0.625  0.250
W  0.589  0.125  0.250
Pd  0.750  0.250  0.500
Pd  0.000  0.000  0.000

Properties
DFT formation energy (eV/f.u.): 2.61
Crystal system: tetragonal
Total moment (μB per atom): 0.000
Total DFT energy (no corrections) (eV per atom): -8.567
Density of states at the Fermi level (states/eV/atom): 0.6862

PuMg2Pd8: optimized geometry, GGA-PBE.

Cell: 4.285 6.923 7.491 Å, 117.52 106.62 90.00°
Last column: magnetic moment on the atom in μB.
Fractional positions:
Mg  0.194  0.694  0.387  0.00
Mg  0.806  0.306  0.613  0.00
Pd  0.656  0.439  0.313  -0.05
Pd  0.656  0.873  0.313  -0.05
Pd  0.344  0.561  0.687  -0.05
Pd  0.344  0.127  0.687  -0.05
Pd  0.155  0.155  0.310  -0.08
Pd  0.845  0.845  0.690  -0.08
Pd  0.000  0.298  0.000  -0.08
Pd  0.000  0.702  0.000  -0.08
Pu  0.500  0.000  0.000  4.60

Properties
DFT formation energy (eV/f.u.): -4.97
Crystal system: orthorhombic
Total moment (μB per atom): 0.381
Total DFT energy (no corrections) (eV per atom): -5.821
Density of states at the Fermi level (states/eV/atom): 1.0023